DFT (SCAN) results for a PBEsol-optimized structure of KReSe.

Cell: 2.6936 4.9879 4.9879 Å, 120.00 90.00 90.00°
Site moments in Bohr magnetons follow the coordinates.
Positions (direct):
Se: 0.5000 0.6667 0.3333  -0.02
K: 0.0000 0.0000 0.0000  0.03
Re: 0.5000 0.3333 0.6667  0.80

Computed properties:
- Symmetry: P-6m2, No. 187
- Magnetic moment: 1.12 Bohr magnetons per cell
- Final energy: -96.02 eV for the cell shown



DFT (SCAN) results for a PBEsol-optimized structure of AgSn3O.

Cell: 5.1771 5.1771 5.1771 Å, 90.00 90.00 90.00°
Positions (direct):
O: 0.5000 0.5000 0.5000
Sn: 0.0000 0.0000 0.5000
Sn: 0.5000 0.0000 0.0000
Sn: 0.0000 0.5000 0.0000
Ag: 0.0000 0.0000 0.0000

Computed properties:
- Symmetry: Pm-3m, No. 221
- Magnetic moment: 0.00 Bohr magnetons per cell
- Final energy: -141.00 eV for the cell shown



DFT (SCAN) results for a PBEsol-optimized structure of MnMo2Os.

Cell: 2.6712 4.9632 4.9632 Å, 116.04 98.59 98.59°
Site moments in Bohr magnetons follow the coordinates.
Positions (direct):
Mo: 0.0000 0.0000 0.5000  -0.21
Mo: 0.0000 0.5000 0.0000  -0.21
Mn: 0.5000 0.5000 0.5000  3.29
Os: 0.5000 0.0000 0.0000  0.02

Computed properties:
- Formation enthalpy at 0 K: 0.03 eV/atom
- Symmetry: C2/m, No. 12
- Magnetic moment: 3.01 Bohr magnetons per cell
- Energy above the most stable polymorph in this dataset: 0 meV per atom



DFT (SCAN) results for a PBEsol-optimized structure of ZnPOs3.

Cell: 4.3061 4.3061 4.3061 Å, 90.00 90.00 90.00°
Site moments in Bohr magnetons follow the coordinates.
Positions (direct):
Os: 0.0000 0.0000 0.5000  0.24
Os: 0.0000 0.5000 0.0000  0.24
Os: 0.5000 0.0000 0.0000  0.24
Zn: 0.5000 0.5000 0.5000  -0.02
P: 0.0000 0.0000 0.0000  -0.02

Computed properties:
- Formation enthalpy at 0 K: 0.98 eV/atom
- Symmetry: Pm-3m, No. 221
- Magnetic moment: 0.75 Bohr magnetons per cell
- Energy above the most stable polymorph in this dataset: 0 meV per atom



DFT (SCAN) results for a PBEsol-optimized structure of Ba2LiPt.

Cell: 4.5239 4.6421 6.4743 Å, 111.01 90.00 90.00°
Positions (direct):
Ba: 0.0000 0.9916 0.9833
Ba: 0.5000 0.2725 0.5450
Li: 0.0000 0.6733 0.3465
Pt: 0.5000 0.5663 0.1327

Computed properties:
- Formation enthalpy at 0 K: -0.48 eV/atom
- Symmetry: Amm2, No. 38
- Magnetic moment: 0.04 Bohr magnetons per cell



DFT (SCAN) results for a PBEsol-optimized structure of InW3S.

Cell: 4.4144 4.4144 4.4144 Å, 90.00 90.00 90.00°
Positions (direct):
W: 0.5000 0.0000 0.0000
W: 0.0000 0.0000 0.5000
W: 0.0000 0.5000 0.0000
In: 0.5000 0.5000 0.5000
S: 0.0000 0.0000 0.0000

Computed properties:
- Symmetry: Pm-3m, No. 221
- Magnetic moment: 0.00 Bohr magnetons per cell
- Final energy: -247.37 eV for the cell shown



DFT (SCAN) results for a PBEsol-optimized structure of CoRhSe2.

Cell: 3.2067 3.2067 7.6553 Å, 77.91 77.91 60.00°
Positions (direct):
Se: 0.1048 0.1048 0.6857
Se: 0.8952 0.8952 0.3143
Co: 0.5000 0.5000 0.5000
Rh: 0.0000 0.0000 0.0000

Computed properties:
- Symmetry: R-3m, No. 166
- Magnetic moment: 0.00 Bohr magnetons per cell
- Final energy: -91.24 eV for the cell shown



DFT (SCAN) results for a PBEsol-optimized structure of BeRh3.

Cell: 2.6689 4.1780 4.4774 Å, 90.00 90.00 90.00°
Positions (direct):
Rh: 0.5000 0.5000 0.8474
Rh: 0.0000 0.5000 0.3329
Rh: 0.5000 0.0000 0.4962
Be: 0.0000 0.0000 0.9903

Computed properties:
- Formation enthalpy at 0 K: -0.15 eV/atom
- Symmetry: Pmm2, No. 25
- Magnetic moment: 0.00 Bohr magnetons per cell



DFT (SCAN) results for a PBEsol-optimized structure of BeCoSe2.

Cell: 5.2346 5.2346 6.2961 Å, 114.56 114.56 90.00°
Site moments in Bohr magnetons follow the coordinates.
Positions (direct):
Co: 0.0000 0.0000 0.0000  2.30
Co: 0.2500 0.7500 0.5000  2.30
Se: 0.3858 0.8750 0.2500  0.13
Se: 0.6250 0.6142 0.7500  0.13
Se: 0.1250 0.1358 0.7500  0.13
Se: 0.8642 0.3750 0.2500  0.13
Be: 0.5000 0.5000 0.0000  0.03
Be: 0.7500 0.2500 0.5000  0.03

Computed properties:
- Symmetry: I-42d, No. 122
- Magnetic moment: 5.87 Bohr magnetons per cell
- Final energy: -127.55 eV for the cell shown



DFT (SCAN) results for a PBEsol-optimized structure of BaAs2W.

Cell: 3.7616 3.7616 7.7660 Å, 75.98 75.98 60.00°
Positions (direct):
W: 0.3281 0.3281 0.0157
Ba: 0.5014 0.5014 0.4958
As: 0.9340 0.9340 0.1979
As: 0.7262 0.7262 0.8213

Computed properties:
- Formation enthalpy at 0 K: -0.24 eV/atom
- Symmetry: R3m, No. 160
- Magnetic moment: 0.00 Bohr magnetons per cell
- Energy above the most stable polymorph in this dataset: 0 meV per atom



DFT (SCAN) results for a PBEsol-optimized structure of MnZn2Co.

Cell: 3.6728 3.6735 4.4343 Å, 114.47 114.46 90.00°
Site moments in Bohr magnetons follow the coordinates.
Positions (direct):
Zn: 0.0000 0.0000 0.0000  -0.06
Zn: 0.2500 0.7500 0.5000  -0.07
Co: 0.5000 0.5000 0.0001  1.50
Mn: 0.7500 0.2500 0.4999  3.52

Computed properties:
- Formation enthalpy at 0 K: -0.10 eV/atom
- Symmetry: I-4m2, No. 119
- Magnetic moment: 4.91 Bohr magnetons per cell
- Energy above the most stable polymorph in this dataset: 83 meV per atom



DFT (SCAN) results for a PBEsol-optimized structure of Ag5W.

Cell: 2.7161 4.7052 7.7629 Å, 90.00 100.08 90.00°
Positions (direct):
Ag: 0.6682 0.0000 0.3363
Ag: 0.4427 0.5000 0.8854
Ag: 0.7738 0.5000 0.5476
Ag: 0.3370 0.0000 0.6740
Ag: 0.0035 0.0000 0.0071
W: 0.1081 0.5000 0.2162

Computed properties:
- Formation enthalpy at 0 K: 0.45 eV/atom
- Symmetry: Amm2, No. 38
- Magnetic moment: 0.00 Bohr magnetons per cell